(1)
CuSiHg2S4 after structural relaxation, computed with GGA-PBE.

abc: 5.401 5.401 12.433
angles: 90.00 90.00 90.00
Space group I-42m (No. 121)
Inequivalent atoms, fractional coordinates:
Cu (0.000, 0.000, 0.000) (multiplicity 2)
Si (0.000, 0.000, 0.500) (multiplicity 2)
Hg (0.000, 0.500, 0.250) (multiplicity 4)
S (0.235, 0.235, 0.598) (multiplicity 8)

Results
VASP energy, eV/atom: -3.486

---

(2)
NbFeAs after structural relaxation, computed with GGA-PBE.

abc: 7.0415 7.0415 3.2664
angles: 90.00 90.00 120.00
Space group P-62m (No. 189)
Inequivalent atoms, fractional coordinates:
Nb (0.0000, 0.2760, 0.0000) (multiplicity 3)
Fe (0.0000, 0.6110, 0.5000) (multiplicity 3)
As (0.0000, 0.0000, 0.5000) (multiplicity 1)
As (0.3333, 0.6667, 0.0000) (multiplicity 2)

Results
VASP energy, eV/atom: -7.733

---

(3)
SrLiTbTe3 after structural relaxation, computed with GGA-PBE.

abc: 14.771 4.436 11.656
angles: 90.00 90.00 90.00
Space group Pnma (No. 62)
Inequivalent atoms, fractional coordinates:
Sr (0.223, 0.250, 0.039) (multiplicity 4)
Li (0.006, 0.750, 0.090) (multiplicity 4)
Tb (0.016, 0.250, 0.333) (multiplicity 4)
Te (0.103, 0.750, 0.885) (multiplicity 4)
Te (0.110, 0.250, 0.569) (multiplicity 4)
Te (0.146, 0.750, 0.250) (multiplicity 4)

Results
VASP energy, eV/atom: -4.358

---

Please write out number 2 again, unchanged.
NbFeAs after structural relaxation, computed with GGA-PBE.

abc: 7.0415 7.0415 3.2664
angles: 90.00 90.00 120.00
Space group P-62m (No. 189)
Inequivalent atoms, fractional coordinates:
Nb (0.0000, 0.2760, 0.0000) (multiplicity 3)
Fe (0.0000, 0.6110, 0.5000) (multiplicity 3)
As (0.0000, 0.0000, 0.5000) (multiplicity 1)
As (0.3333, 0.6667, 0.0000) (multiplicity 2)

Results
VASP energy, eV/atom: -7.733